The following is a DFT calculation (PBE-GGA) of crystalline SmCuAg at its relaxed geometry.

It has space group C2/m (No. 12), with a = 10.1461 Å, b = 4.1220 Å, c = 7.2876 Å, α = 90.00°, β = 124.36° and γ = 90.00°. Symmetry generates all atoms from Sm at (0.0569, 0.0000, 0.3017), Cu at (0.1395, 0.5000, 0.6669) and Ag at (0.1768, 0.5000, 0.0857).

The uncorrected energy comes out at -4.14 eV/atom. The calculation puts the energy of formation from the pure elements at -0.2533 eV per atom. The value obtained for the offset from the most stable computed form is 0 meV per atom.

=====

The following is a DFT calculation (PBE-GGA) of crystalline PmPrGa4 at its relaxed geometry.

It has space group P6/mmm (No. 191), with a = 4.2795 Å, b = 4.2795 Å, c = 8.6048 Å, α = 90.00°, β = 90.00° and γ = 120.00°. Symmetry generates all atoms from Pm at (0.0000, 0.0000, 0.0000), Pr at (0.0000, 0.0000, 0.5000) and Ga at (0.3333, 0.6667, 0.2464).

The uncorrected energy comes out at -4.30 eV/atom. The calculation puts the energy of formation from the pure elements at -0.6933 eV per atom. The value obtained for the offset from the most stable computed form is 0 meV per atom.

=====

The following is a DFT calculation (PBE-GGA) of crystalline PmTm6Tl6 at its relaxed geometry.

It has space group P6/mmm (No. 191), with a = 6.3784 Å, b = 6.3784 Å, c = 10.4461 Å, α = 90.00°, β = 90.00° and γ = 120.00°. Symmetry generates all atoms from Pm at (0.0000, 0.0000, 0.0000), Tm at (0.0000, 0.0000, 0.3395), Tm at (0.3333, 0.6667, 0.0000), Tm at (0.3333, 0.6667, 0.5000) and Tl at (0.0000, 0.5000, 0.2458).

The uncorrected energy comes out at -3.68 eV/atom. The calculation puts the energy of formation from the pure elements at -0.1601 eV per atom.

=====

The following is a DFT calculation (PBE-GGA) of crystalline CeHfRu2 at its relaxed geometry.

It has space group P4/mmm (No. 123), with a = 3.2525 Å, b = 3.2525 Å, c = 7.0707 Å, α = 90.00°, β = 90.00° and γ = 90.00°. Symmetry generates all atoms from Ce at (0.0000, 0.0000, 0.0000), Hf at (0.0000, 0.0000, 0.5000) and Ru at (0.5000, 0.5000, 0.2760).

The uncorrected energy comes out at -9.12 eV/atom. The calculation puts the energy of formation from the pure elements at -0.5119 eV per atom.

=====

The following is a DFT calculation (PBE-GGA) of crystalline Nb7Te12Pd at its relaxed geometry.

It has space group R-3 (No. 148, hexagonal axes), with a = 14.1745 Å, b = 14.1745 Å, c = 9.2453 Å, α = 90.00°, β = 90.00° and γ = 120.00°. Symmetry generates all atoms from Nb at (0.0000, 0.0000, 0.0000), Nb at (0.0467, 0.8824, 0.3230), Te at (0.0277, 0.4421, 0.1652), Te at (0.0538, 0.8598, 0.8460) and Pd at (0.0000, 0.0000, 0.5000).

The uncorrected energy comes out at -5.88 eV/atom. The value obtained for the formation energy from raw total energies is -19.9 kJ per mole of atoms.

=====

The following is a DFT calculation (PBE-GGA) of crystalline Li2MoRu at its relaxed geometry.

It has space group P2/m (No. 10), with a = 2.5429 Å, b = 4.6618 Å, c = 4.9745 Å, α = 90.00°, β = 101.39° and γ = 90.00°. Symmetry generates all atoms from Li at (0.2120, 0.0000, 0.2592), Mo at (0.5000, 0.5000, 0.0000) and Ru at (0.0000, 0.5000, 0.5000).

The uncorrected energy comes out at -5.70 eV/atom. The calculation puts the energy of formation from the pure elements at 0.2798 eV per atom. The value obtained for the offset from the most stable computed form is 77 meV per atom.

=====

The following is a DFT calculation (PBE-GGA) of crystalline Ge2S2Br at its relaxed geometry.

It has space group I4_1md (No. 109), with a = 6.3527 Å, b = 6.3527 Å, c = 11.7260 Å, α = 90.00°, β = 90.00° and γ = 90.00°. Symmetry generates all atoms from Ge at (0.0000, 0.2711, 0.0000), S at (0.0000, 0.2432, 0.2156) and Br at (0.0000, 0.0000, 0.5219).

The uncorrected energy comes out at -4.02 eV/atom. The value obtained for the formation energy from raw total energies is -17.7 kJ per mole of atoms.

=====

The following is a DFT calculation (PBE-GGA) of crystalline SrLiZnOs at its relaxed geometry.

It has space group R3m (No. 160, hexagonal axes), with a = 4.3615 Å, b = 4.3615 Å, c = 16.0573 Å, α = 90.00°, β = 90.00° and γ = 120.00°. Symmetry generates all atoms from Sr at (0.0000, 0.0000, 0.0000), Li at (0.0000, 0.0000, 0.4907), Zn at (0.0000, 0.0000, 0.8157) and Os at (0.0000, 0.0000, 0.1905).

The uncorrected energy comes out at -3.72 eV/atom. The calculation puts the energy of formation from the pure elements at 0.3094 eV per atom. The value obtained for the offset from the most stable computed form is 63 meV per atom.